Here is an optimized crystal structure of SrAgHg3 from the Alexandria database. Energies are from GGA-PBEsol.

Cell and atoms, written as extended XYZ:
```
5
Lattice="5.234 0.000 0.000 0.000 5.234 0.000 0.000 0.000 5.234" Properties=species:S:1:pos:R:3 pbc="T T T"
Hg 2.617 0.000 0.000
Hg 0.000 2.617 0.000
Hg 0.000 0.000 2.617
Sr 2.617 2.617 2.617
Ag 0.000 0.000 0.000
```

Calculated values
As for the space group: Pm-3m, No. 221. For the energy relative to the elements, the calculation gives -111 meV per atom. The total magnetization comes out at 0.00 μB/f.u.



Here is an optimized crystal structure of SrAgHg2 from the Alexandria database. Energies are from GGA-PBEsol.

Cell and atoms, written as extended XYZ:
```
4
Lattice="4.597 0.000 0.000 0.000 4.597 0.000 0.000 0.000 4.680" Properties=species:S:1:pos:R:3 pbc="T T T"
Ag 0.000 0.000 2.340
Hg 0.000 2.298 0.000
Sr 2.298 2.298 2.340
Hg 2.298 0.000 0.000
```

Calculated values
As for the space group: P4/mmm, No. 123. For the energy relative to the elements, the calculation gives -270 meV per atom. The total magnetization comes out at 0.00 μB/f.u.



Here is an optimized crystal structure of SrAgHg2 from the Alexandria database. Energies are from GGA-PBEsol.

Cell and atoms, written as extended XYZ:
```
4
Lattice="4.833 0.000 0.000 0.000 5.133 0.000 -2.416 -2.566 3.870" Properties=species:S:1:pos:R:3 pbc="T T T"
Hg 2.416 2.566 3.821
Ag 0.000 2.566 2.049
Hg 2.416 0.000 1.855
Sr 2.416 2.566 0.016
```

Calculated values
As for the space group: Imm2, No. 44. For the energy relative to the elements, the calculation gives -306 meV per atom. The total magnetization comes out at 0.00 μB/f.u.



Here is an optimized crystal structure of SrAgHg2 from the Alexandria database. Energies are from GGA-PBEsol.

Cell and atoms, written as extended XYZ:
```
4
Lattice="-0.701 4.748 0.694 0.382 -3.051 4.318 4.132 0.241 2.527" Properties=species:S:1:pos:R:3 pbc="T T T"
Hg 2.764 2.216 4.575
Sr 1.715 2.494 1.611
Hg 1.049 -0.278 2.964
Ag 0.000 0.000 0.000
```

Calculated values
As for the space group: I4/mmm, No. 139. For the energy relative to the elements, the calculation gives -333 meV per atom. The total magnetization comes out at 0.00 μB/f.u.



Here is an optimized crystal structure of SrAgHg2 from the Alexandria database. Energies are from GGA-PBEsol.

Cell and atoms, written as extended XYZ:
```
4
Lattice="5.127 0.000 0.000 2.564 4.440 0.000 2.564 1.480 4.186" Properties=species:S:1:pos:R:3 pbc="T T T"
Ag 5.127 2.960 2.093
Sr 2.564 1.480 1.047
Hg 0.000 0.000 0.000
Hg 7.691 4.440 3.140
```

Calculated values
As for the space group: F-43m, No. 216. For the energy relative to the elements, the calculation gives -307 meV per atom. The total magnetization comes out at 0.00 μB/f.u.



Here is an optimized crystal structure of SrAgHg2 from the Alexandria database. Energies are from GGA-PBEsol.

Cell and atoms, written as extended XYZ:
```
4
Lattice="-0.480 3.027 -3.763 -3.619 -0.494 3.194 4.450 2.937 1.795" Properties=species:S:1:pos:R:3 pbc="T T T"
Ag 2.225 1.469 0.898
Hg 1.019 3.933 -0.096
Hg -0.667 1.537 1.322
Sr -0.240 1.513 -1.881
```

Calculated values
As for the space group: C2/m, No. 12. For the energy relative to the elements, the calculation gives -342 meV per atom. The total magnetization comes out at 0.00 μB/f.u.



Here is an optimized crystal structure of SrAg2Hg2 from the Alexandria database. Energies are from GGA-PBEsol.

Cell and atoms, written as extended XYZ:
```
5
Lattice="4.302 0.000 0.000 0.000 4.302 0.000 -2.151 -2.151 6.427" Properties=species:S:1:pos:R:3 pbc="T T T"
Ag 2.151 0.000 3.213
Hg 2.151 2.151 1.427
Ag 0.000 2.151 3.213
Sr 0.000 0.000 0.000
Hg 0.000 0.000 4.999
```

Calculated values
As for the space group: I4/mmm, No. 139. For the energy relative to the elements, the calculation gives -253 meV per atom. The total magnetization comes out at 0.00 μB/f.u.



Here is an optimized crystal structure of TaAg2Hg from the Alexandria database. Energies are from GGA-PBEsol.

Cell and atoms, written as extended XYZ:
```
4
Lattice="2.833 0.000 0.000 0.000 5.031 0.000 0.000 0.000 5.031" Properties=species:S:1:pos:R:3 pbc="T T T"
Ag 0.000 0.000 2.516
Ta 1.416 0.000 0.000
Hg 1.416 2.516 2.516
Ag 0.000 2.516 0.000
```

Calculated values
As for the space group: P4/mmm, No. 123. For the energy relative to the elements, the calculation gives 443 meV per atom. The total magnetization comes out at 0.00 μB/f.u.



> Which value of energy relative to the elements does entry 5 give?

-307 meV per atom



Repeat the third record exactly.
Here is an optimized crystal structure of SrAgHg2 from the Alexandria database. Energies are from GGA-PBEsol.

Cell and atoms, written as extended XYZ:
```
4
Lattice="4.833 0.000 0.000 0.000 5.133 0.000 -2.416 -2.566 3.870" Properties=species:S:1:pos:R:3 pbc="T T T"
Hg 2.416 2.566 3.821
Ag 0.000 2.566 2.049
Hg 2.416 0.000 1.855
Sr 2.416 2.566 0.016
```

Calculated values
As for the space group: Imm2, No. 44. For the energy relative to the elements, the calculation gives -306 meV per atom. The total magnetization comes out at 0.00 μB/f.u.



> energy relative to the elements of number 4 (SrAgHg2)?

-333 meV per atom